1.
The following is a DFT calculation (GGA-PBE) of crystalline TbY3Tm2Se6 at its relaxed geometry.

Values from the calculation:
- ΔE_f (raw): -1.73 eV/atom

Cell: 7.0061 12.2097 7.0594 Å, 90.00 109.40 90.00°
Space group C2/m (No. 12)
Symmetry-distinct sites (fractional):
Tb1 0.0000 0.0000 0.0000 [2 per cell]
Y1 0.0000 0.1624 0.5000 [4 per cell]
Y2 0.0000 0.5000 0.5000 [2 per cell]
Tm1 0.0000 0.3341 0.0000 [4 per cell]
Se1 0.2425 0.5000 0.2437 [4 per cell]
Se2 0.2486 0.3304 0.7534 [8 per cell]

2.
The following is a DFT calculation (GGA-PBE) of crystalline Tb3Y2TmSe6 at its relaxed geometry.

Values from the calculation:
- ΔE_f (raw): -1.75 eV/atom

Cell: 17.7748 4.0665 8.1936 Å, 90.00 103.49 90.00°
Space group C2/m (No. 12)
Symmetry-distinct sites (fractional):
Tb1 0.0000 0.0000 0.0000 [2 per cell]
Tb2 0.1686 0.5000 0.3331 [4 per cell]
Y1 0.1678 0.5000 0.8349 [4 per cell]
Tm1 0.0000 0.0000 0.5000 [2 per cell]
Se1 0.0003 0.5000 0.2556 [4 per cell]
Se2 0.1638 0.0000 0.5822 [4 per cell]
Se3 0.1663 0.0000 0.0825 [4 per cell]

3.
The following is a DFT calculation (GGA-PBE) of crystalline Tb3Y3TmSe8 at its relaxed geometry.

Values from the calculation:
- ΔE_f (raw): -1.84 eV/atom

Cell: 8.1453 8.1453 19.9623 Å, 90.00 90.00 120.00°
Space group R-3m (No. 166, hexagonal axes)
Symmetry-distinct sites (fractional):
Tb1 0.0000 0.5000 0.0000 [9 per cell]
Y1 0.0000 0.5000 0.5000 [9 per cell]
Tm1 0.0000 0.0000 0.5000 [3 per cell]
Se1 0.0000 0.0000 0.2497 [6 per cell]
Se2 0.9996 0.4998 0.2498 [18 per cell]

4.
The following is a DFT calculation (GGA-PBE) of crystalline TbY2TmSe6 at its relaxed geometry.

Values from the calculation:
- ΔE_f (raw): -1.86 eV/atom

Cell: 7.1910 7.1910 19.4271 Å, 90.00 90.00 120.00°
Space group R3 (No. 146, hexagonal axes)
Symmetry-distinct sites (fractional):
Tb1 0.0000 0.0000 0.0000 [3 per cell]
Y1 0.0000 0.0000 0.3032 [3 per cell]
Y2 0.0000 0.0000 0.8041 [3 per cell]
Tm1 0.0000 0.0000 0.4987 [3 per cell]
Se1 0.0287 0.6723 0.5685 [9 per cell]
Se2 0.0306 0.3632 0.0693 [9 per cell]

5.
The following is a DFT calculation (GGA-PBE) of crystalline TbY2Tm3Se6 at its relaxed geometry.

Values from the calculation:
- ΔE_f (raw): -1.71 eV/atom

Cell: 17.6985 4.0367 8.1497 Å, 90.00 104.04 90.00°
Space group C2/m (No. 12)
Symmetry-distinct sites (fractional):
Tb1 0.0000 0.0000 0.0000 [2 per cell]
Y1 0.1661 0.5000 0.3323 [4 per cell]
Tm1 0.0000 0.0000 0.5000 [2 per cell]
Tm2 0.1663 0.5000 0.8335 [4 per cell]
Se1 0.0016 0.5000 0.7454 [4 per cell]
Se2 0.1654 0.0000 0.5872 [4 per cell]
Se3 0.1686 0.0000 0.0794 [4 per cell]

6.
The following is a DFT calculation (GGA-PBE) of crystalline Tb2YTm3Se6 at its relaxed geometry.

Values from the calculation:
- ΔE_f (raw): -1.72 eV/atom

Cell: 17.7091 4.0366 8.1563 Å, 90.00 104.11 90.00°
Space group C2/m (No. 12)
Symmetry-distinct sites (fractional):
Tb1 0.1672 0.0000 0.3340 [4 per cell]
Y1 0.0000 0.5000 0.0000 [2 per cell]
Tm1 0.0000 0.5000 0.5000 [2 per cell]
Tm2 0.1669 0.0000 0.8326 [4 per cell]
Se1 0.0016 0.0000 0.7462 [4 per cell]
Se2 0.1647 0.5000 0.5874 [4 per cell]
Se3 0.1680 0.5000 0.0785 [4 per cell]

7.
The following is a DFT calculation (GGA-PBE) of crystalline Tb6USe8 at its relaxed geometry.

Values from the calculation:
- ΔE_f (raw): -1.70 eV/atom

Cell: 11.5479 11.5479 11.5479 Å, 90.00 90.00 90.00°
Space group Fm-3m (No. 225)
Symmetry-distinct sites (fractional):
Tb1 0.0000 0.2500 0.2500 [24 per cell]
U1 0.0000 0.0000 0.0000 [4 per cell]
Se1 0.0000 0.0000 0.2545 [24 per cell]
Se2 0.2500 0.2500 0.2500 [8 per cell]

8.
The following is a DFT calculation (GGA-PBE) of crystalline Tb6USe12 at its relaxed geometry.

Values from the calculation:
- ΔE_f (raw): -1.64 eV/atom

Cell: 12.5138 12.5138 11.8522 Å, 90.00 90.00 120.00°
Space group R-3 (No. 148, hexagonal axes)
Symmetry-distinct sites (fractional):
Tb1 0.0436 0.7751 0.1310 [18 per cell]
U1 0.0000 0.0000 0.5000 [3 per cell]
Se1 0.0291 0.8139 0.8914 [18 per cell]
Se2 0.0483 0.8496 0.3747 [18 per cell]

9.
The following is a DFT calculation (GGA-PBE) of crystalline Tb2USe at its relaxed geometry.

Values from the calculation:
- ΔE_f (raw): -0.15 eV/atom

Cell: 3.5967 3.5967 31.1130 Å, 90.00 90.00 120.00°
Space group R-3m (No. 166, hexagonal axes)
Symmetry-distinct sites (fractional):
Tb1 0.0000 0.0000 0.1051 [6 per cell]
U1 0.0000 0.0000 0.0000 [3 per cell]
Se1 0.0000 0.0000 0.5000 [3 per cell]

10.
The following is a DFT calculation (GGA-PBE) of crystalline Tb2USe5 at its relaxed geometry.

Values from the calculation:
- Distance to the lowest polymorph of the same formula: 0 meV per atom
- ΔE_f (raw): -1.54 eV/atom

Cell: 5.6296 13.6078 13.7251 Å, 90.00 90.00 90.00°
Space group Cmcm (No. 63)
Symmetry-distinct sites (fractional):
Tb1 0.0000 0.1484 0.0566 [8 per cell]
U1 0.0000 0.2015 0.7500 [4 per cell]
Se1 0.0000 0.0469 0.6221 [8 per cell]
Se2 0.0000 0.2503 0.2500 [4 per cell]
Se3 0.0000 0.3197 0.5739 [8 per cell]

| no. | size of the total moment (μB per cell) |
| --- | --- |
| 1 | 0.00 |
| 2 | 0.00 |
| 3 | 0.00 |
| 4 | 0.00 |
| 5 | 0.00 |
| 6 | 0.00 |
| 7 | 15.21 |
| 8 | 0.00 |
| 9 | 11.64 |
| 10 | 8.00 |